Computed, not measured: crystalline AcP2BrO6 at its relaxed geometry at the GGA-PBE level of DFT.

Output
Energy relative to the elements, uncorrected = -2412 meV per atom
Total magnetic moment = 0.00 μB/f.u.
Symmetry = No. 15
Volume = 187.7 Å³/f.u.

Cell lengths 4.9021, 8.8651, 8.8651 Å; angles 90.17, 80.84, 80.84 degrees
Atoms (fractional coordinates):
P 0.1461 0.3606 0.2090
P 0.8539 0.6394 0.7910
P 0.3539 0.7910 0.6394
P 0.6461 0.2090 0.3606
O 0.9525 0.4772 0.7312
O 0.3372 0.9588 0.6689
O 0.4562 0.3065 0.2505
O 0.9562 0.2505 0.3065
O 0.8372 0.6689 0.9588
O 0.4525 0.7312 0.4772
O 0.6628 0.0412 0.3311
O 0.5438 0.6935 0.7495
O 0.5475 0.2688 0.5228
O 0.1628 0.3311 0.0412
O 0.0475 0.5228 0.2688
O 0.0438 0.7495 0.6935
Ac 0.2500 0.2297 0.7703
Ac 0.7500 0.7703 0.2297
Br 0.2500 0.9035 0.0965
Br 0.7500 0.0965 0.9035